This record from Alexandria describes a relaxed Y2ZnTc crystal. The functional is PBE.

Output
E	-6.239	eV/atom
spin magnetization	0.000	μB per formula unit

```
Y2ZnTc
1.0
-1.414 -4.303 1.812
4.588 -0.924 1.377
-0.642 1.550 3.182
Y Zn Tc
2 1 1
Direct
0.000 0.000 0.000 Y
0.500 0.500 0.000 Y
0.500 0.000 0.500 Zn
0.000 0.500 0.500 Tc
```